# 1
# PBE Pm2Re3Tc, relaxed
# * E_tot: -9.55 eV/atom
data_Pm2Re3Tc
_chemical_formula_sum 'Pm4 Re6 Tc2'
_cell_length_a 9.298
_cell_length_b 5.388
_cell_length_c 5.637
_cell_angle_alpha 90.00
_cell_angle_beta 124.26
_cell_angle_gamma 90.00
_space_group_name_H-M_alt 'C 1 2/m 1'
_space_group_IT_number 12
_space_group_name_Hall '-C 2y'
loop_
_atom_site_label
_atom_site_type_symbol
_atom_site_fract_x
_atom_site_fract_y
_atom_site_fract_z
Pm1 Pm 0.126 0.000 0.377
Re1 Re 0.000 0.500 0.000
Re2 Re 0.250 0.250 0.000
Tc1 Tc 0.000 0.500 0.500

***

# 2
# PBE TcHgP, relaxed
# * E_tot: -5.32 eV/atom
data_TcHgP
_chemical_formula_sum 'Tc1 Hg1 P1'
_cell_length_a 3.0512
_cell_length_b 3.0512
_cell_length_c 6.6639
_cell_angle_alpha 90.00
_cell_angle_beta 90.00
_cell_angle_gamma 120.00
_space_group_name_H-M_alt 'P 3 m 1'
_space_group_IT_number 156
_space_group_name_Hall 'P 3 -2"'
loop_
_atom_site_label
_atom_site_type_symbol
_atom_site_fract_x
_atom_site_fract_y
_atom_site_fract_z
Tc1 Tc 0.0000 0.0000 0.0000
Hg1 Hg 0.6667 0.3333 0.3628
P1 P 0.3333 0.6667 0.7702

***

# 3
# PBE Sr5Cl3F12, relaxed
# * E_tot: -4.40 eV/atom
# * raw formation energy: -51.57 eV/f.u.
data_Sr5Cl3F12
_chemical_formula_sum 'Sr40 Cl24 F96'
_cell_length_a 15.094
_cell_length_b 15.094
_cell_length_c 15.094
_cell_angle_alpha 90.00
_cell_angle_beta 90.00
_cell_angle_gamma 90.00
_space_group_name_H-M_alt 'I a -3 d'
_space_group_IT_number 230
_space_group_name_Hall '-I 4bd 2c 3'
loop_
_atom_site_label
_atom_site_type_symbol
_atom_site_fract_x
_atom_site_fract_y
_atom_site_fract_z
Sr1 Sr 0.000 0.000 0.000
Sr2 Sr 0.000 0.250 0.375
Cl1 Cl 0.000 0.250 0.125
F1 F 0.048 0.070 0.636

***

Number 1: spin magnetization 0.000 μB per formula unit. Number 2: spin magnetization 0.000 μB per formula unit. Number 3: spin magnetization 5.001 μB per formula unit.